# 1
A plane-wave DFT calculation with PBE-GGA was carried out for LaTbSm2Ho2 after structural relaxation.

**ΔH_f (0 K)**: 0.157 eV per atom
**Uncorrected energy**: -4.54 eV per atom
**DOS at the Fermi energy**: 18.4 states/eV per cell

a = 6.988 Å, b = 16.330 Å, c = 3.541 Å
α = 90.00°, β = 90.00°, γ = 90.00°
Element x y z (fractional)
1 La 0.000 0.000 0.000
2 La 0.500 0.500 0.500
3 Tb 0.000 0.500 0.500
4 Tb 0.500 0.000 0.000
5 Sm 0.247 0.340 0.000
6 Sm 0.253 0.840 0.500
7 Sm 0.747 0.160 0.500
8 Sm 0.753 0.660 0.000
9 Ho 0.249 0.155 0.500
10 Ho 0.251 0.655 0.000
11 Ho 0.749 0.345 0.000
12 Ho 0.751 0.845 0.500

***

# 2
A plane-wave DFT calculation with PBE-GGA was carried out for La2Tb6SmHo3 after structural relaxation.

**ΔH_f (0 K)**: 0.021 eV per atom
**Uncorrected energy**: -4.65 eV per atom
**DOS at the Fermi energy**: 16.6 states/eV per cell

a = 6.221 Å, b = 6.221 Å, c = 11.891 Å
α = 95.00°, β = 95.00°, γ = 120.00°
Element x y z (fractional)
1 La 0.167 0.833 0.000
2 La 0.833 0.167 0.000
3 Tb 0.082 0.414 0.745
4 Tb 0.253 0.253 0.255
5 Tb 0.414 0.082 0.745
6 Tb 0.586 0.918 0.255
7 Tb 0.747 0.747 0.745
8 Tb 0.918 0.586 0.255
9 Sm 0.500 0.500 0.000
10 Ho 0.000 0.000 0.500
11 Ho 0.334 0.666 0.500
12 Ho 0.666 0.334 0.500

***

# 3
A plane-wave DFT calculation with PBE-GGA was carried out for LaTb3Sm6Ho2 after structural relaxation.

**ΔH_f (0 K)**: 0.018 eV per atom
**Uncorrected energy**: -4.67 eV per atom
**DOS at the Fermi energy**: 16.2 states/eV per cell

a = 6.246 Å, b = 6.246 Å, c = 11.955 Å
α = 95.00°, β = 95.00°, γ = 119.98°
Element x y z (fractional)
1 La 0.000 0.000 0.000
2 Tb 0.167 0.833 0.500
3 Tb 0.500 0.500 0.500
4 Tb 0.833 0.167 0.500
5 Sm 0.084 0.419 0.252
6 Sm 0.250 0.250 0.748
7 Sm 0.419 0.084 0.252
8 Sm 0.581 0.916 0.748
9 Sm 0.750 0.750 0.252
10 Sm 0.916 0.581 0.748
11 Ho 0.333 0.667 0.000
12 Ho 0.667 0.333 0.000

***

# 4
A plane-wave DFT calculation with PBE-GGA was carried out for La2TbSm2Ho after structural relaxation.

**ΔH_f (0 K)**: 0.058 eV per atom
**Uncorrected energy**: -4.69 eV per atom
**DOS at the Fermi energy**: 18.9 states/eV per cell

a = 7.121 Å, b = 5.745 Å, c = 9.951 Å
α = 90.00°, β = 90.00°, γ = 90.00°
Element x y z (fractional)
1 La 0.000 0.000 0.000
2 La 0.250 0.500 0.177
3 La 0.500 0.000 0.000
4 La 0.750 0.500 0.823
5 Tb 0.250 0.000 0.658
6 Tb 0.750 0.000 0.342
7 Sm 0.250 0.000 0.333
8 Sm 0.250 0.500 0.834
9 Sm 0.750 0.000 0.667
10 Sm 0.750 0.500 0.166
11 Ho 0.000 0.500 0.500
12 Ho 0.500 0.500 0.500

***

# 5
A plane-wave DFT calculation with PBE-GGA was carried out for LaTbSmHo2 after structural relaxation.

**ΔH_f (0 K)**: 0.356 eV per atom
**Uncorrected energy**: -4.33 eV per atom
**DOS at the Fermi energy**: 15.8 states/eV per cell

a = 7.165 Å, b = 7.165 Å, c = 7.223 Å
α = 90.00°, β = 90.00°, γ = 107.64°
Element x y z (fractional)
1 La 0.233 0.767 0.750
2 La 0.767 0.233 0.250
3 Tb 0.220 0.780 0.250
4 Tb 0.780 0.220 0.750
5 Sm 0.498 0.502 0.750
6 Sm 0.502 0.498 0.250
7 Ho 0.188 0.188 0.000
8 Ho 0.188 0.188 0.500
9 Ho 0.812 0.812 0.000
10 Ho 0.812 0.812 0.500

***

# 6
A plane-wave DFT calculation with PBE-GGA was carried out for LaTb2Sm5Ho after structural relaxation.

**ΔH_f (0 K)**: 0.286 eV per atom
**Uncorrected energy**: -4.42 eV per atom
**DOS at the Fermi energy**: 27.4 states/eV per cell

a = 9.784 Å, b = 9.784 Å, c = 9.784 Å
α = 123.76°, β = 123.76°, γ = 83.60°
Element x y z (fractional)
1 La 0.250 0.250 0.000
2 La 0.750 0.750 0.000
3 Tb 0.111 0.611 0.722
4 Tb 0.389 0.111 0.500
5 Tb 0.611 0.889 0.500
6 Tb 0.889 0.389 0.278
7 Sm 0.000 0.000 0.000
8 Sm 0.073 0.166 0.500
9 Sm 0.166 0.666 0.093
10 Sm 0.334 0.427 0.500
11 Sm 0.427 0.927 0.093
12 Sm 0.500 0.500 0.000
13 Sm 0.573 0.073 0.907
14 Sm 0.666 0.573 0.500
15 Sm 0.834 0.334 0.907
16 Sm 0.927 0.834 0.500
17 Ho 0.250 0.750 0.500
18 Ho 0.750 0.250 0.500

***

# 7
A plane-wave DFT calculation with PBE-GGA was carried out for La2TbSm6Ho after structural relaxation.

**ΔH_f (0 K)**: 0.116 eV per atom
**Uncorrected energy**: -4.62 eV per atom
**DOS at the Fermi energy**: 30.4 states/eV per cell

a = 8.869 Å, b = 8.869 Å, c = 10.030 Å
α = 95.19°, β = 95.19°, γ = 118.07°
Element x y z (fractional)
1 La 0.193 0.292 0.041
2 La 0.292 0.193 0.541
3 La 0.708 0.807 0.459
4 La 0.807 0.708 0.959
5 Tb 0.012 0.988 0.250
6 Tb 0.988 0.012 0.750
7 Sm 0.020 0.581 0.189
8 Sm 0.123 0.741 0.557
9 Sm 0.259 0.877 0.943
10 Sm 0.295 0.501 0.379
11 Sm 0.419 0.980 0.311
12 Sm 0.499 0.705 0.121
13 Sm 0.501 0.295 0.879
14 Sm 0.581 0.020 0.689
15 Sm 0.705 0.499 0.621
16 Sm 0.741 0.123 0.057
17 Sm 0.877 0.259 0.443
18 Sm 0.980 0.419 0.811
19 Ho 0.405 0.595 0.750
20 Ho 0.595 0.405 0.250

***

# 8
A plane-wave DFT calculation with PBE-GGA was carried out for LaTb5Sm2Ho after structural relaxation.

**ΔH_f (0 K)**: 0.268 eV per atom
**Uncorrected energy**: -4.41 eV per atom
**DOS at the Fermi energy**: 20.7 states/eV per cell

a = 9.923 Å, b = 9.923 Å, c = 9.923 Å
α = 127.26°, β = 127.26°, γ = 77.83°
Element x y z (fractional)
1 La 0.250 0.250 0.000
2 La 0.750 0.750 0.000
3 Tb 0.000 0.000 0.000
4 Tb 0.072 0.572 0.915
5 Tb 0.157 0.072 0.500
6 Tb 0.343 0.843 0.915
7 Tb 0.428 0.343 0.500
8 Tb 0.500 0.500 0.000
9 Tb 0.572 0.657 0.500
10 Tb 0.657 0.157 0.085
11 Tb 0.843 0.928 0.500
12 Tb 0.928 0.428 0.085
13 Sm 0.116 0.384 0.500
14 Sm 0.384 0.884 0.268
15 Sm 0.616 0.116 0.732
16 Sm 0.884 0.616 0.500
17 Ho 0.250 0.750 0.500
18 Ho 0.750 0.250 0.500

***

What did the eighth record say?
A plane-wave DFT calculation with PBE-GGA was carried out for LaTb5Sm2Ho after structural relaxation.

**ΔH_f (0 K)**: 0.268 eV per atom
**Uncorrected energy**: -4.41 eV per atom
**DOS at the Fermi energy**: 20.7 states/eV per cell

a = 9.923 Å, b = 9.923 Å, c = 9.923 Å
α = 127.26°, β = 127.26°, γ = 77.83°
Element x y z (fractional)
1 La 0.250 0.250 0.000
2 La 0.750 0.750 0.000
3 Tb 0.000 0.000 0.000
4 Tb 0.072 0.572 0.915
5 Tb 0.157 0.072 0.500
6 Tb 0.343 0.843 0.915
7 Tb 0.428 0.343 0.500
8 Tb 0.500 0.500 0.000
9 Tb 0.572 0.657 0.500
10 Tb 0.657 0.157 0.085
11 Tb 0.843 0.928 0.500
12 Tb 0.928 0.428 0.085
13 Sm 0.116 0.384 0.500
14 Sm 0.384 0.884 0.268
15 Sm 0.616 0.116 0.732
16 Sm 0.884 0.616 0.500
17 Ho 0.250 0.750 0.500
18 Ho 0.750 0.250 0.500